Here is a geometry-optimized AcLa2Sm structure from Alexandria via LeMat-Bulk. Energies are from PBE-GGA.

Geometry as CIF:
```
data_AcLa2Sm
_chemical_formula_sum 'Ac3 La6 Sm3'
_space_group_name_H-M_alt 'R 3 m'
_space_group_IT_number 160
_space_group_name_Hall 'R 3 -2"'
_cell_length_a 3.8091
_cell_length_b 3.8091
_cell_length_c 36.6105
_cell_angle_alpha 90.00
_cell_angle_beta 90.00
_cell_angle_gamma 120.00
loop_
_atom_site_label
_atom_site_type_symbol
_atom_site_fract_x
_atom_site_fract_y
_atom_site_fract_z
_atom_site_occupancy
Ac1 Ac 0.0000 0.0000 0.0000 1
La1 La 0.0000 0.0000 0.4185 1
La2 La 0.0000 0.0000 0.5788 1
Sm1 Sm 0.0000 0.0000 0.8324 1
```

Properties
Theoretical density in Mg/m³: 7.1
Distance to the lowest polymorph of the same formula in meV/atom: 13
Final energy in eV for the cell shown: -55.70
Fermi-level density of states in states/eV per cell: 21.88
Energy of formation from the pure elements in eV per formula unit: 0.1